14
Lattice="-2.774 1.128 -5.365 -5.401 -2.073 2.068 3.185 4.485 2.738" Properties=species:S:1:pos:R:3 comment="LiNiSnO4, relaxed, DFT PBE+U" sg="Imma, No. 74" polymorph_energy_mev_per_atom=0 total_energy_ev_per_atom=-5.47 m_tot_mub_per_cell=2.0 pbc="T T T"
Ni -2.701 -1.037 1.034
Ni 1.592 2.242 1.369
O -6.025 -0.467 -2.544
O -1.911 2.791 -2.282
O -1.493 3.185 2.902
O -0.442 2.042 0.622
O -3.498 0.354 -3.460
O -3.080 0.749 1.723
O 1.034 4.007 1.986
O -4.549 1.498 -1.181
Li -4.045 2.258 0.521
Li -0.946 1.282 -1.079
Sn -4.088 -0.472 -1.648
Sn -1.108 1.206 2.403